[1]
Here is crystalline PmSmTm3Sc at its relaxed geometry from Alexandria. Energies are from PBE.

Output
- Energy of formation: 0.0405 eV/atom
- Crystal system: orthorhombic
- Calculated total energy: -4.83 eV/atom

Unit cell a=4.9563 b=7.8281 c=9.9077 alpha=90.00 beta=90.00 gamma=108.46
With the nearest neighbours (Å) after each atom.
Fractional coordinates of all 12 atoms:
Sm  0.0000  0.0000  0.5000  4 Pm 3.50, 2 Sc 3.52, 6 Tm 3.53-3.54
Sm  0.0000  0.0000  0.0000  4 Pm 3.50, 2 Sc 3.52, 6 Tm 3.53-3.54
Tm  0.8296  0.6592  0.2500  6 Tm 3.44-3.50, 2 Sc 3.44, 2 Sm 3.54, 2 Pm 3.56
Tm  0.6690  0.3380  0.0000  5 Tm 3.44-3.50, 3 Sc 3.46-3.50, 2 Pm 3.51-3.55, 2 Sm 3.53
Tm  0.6690  0.3380  0.5000  5 Tm 3.44-3.50, 3 Sc 3.46-3.50, 2 Pm 3.51-3.55, 2 Sm 3.53
Tm  0.1704  0.3408  0.7500  6 Tm 3.44-3.50, 2 Sc 3.44, 2 Sm 3.54, 2 Pm 3.56
Tm  0.3310  0.6620  0.0000  5 Tm 3.44-3.50, 3 Sc 3.46-3.50, 2 Pm 3.51-3.55, 2 Sm 3.53
Tm  0.3310  0.6620  0.5000  5 Tm 3.44-3.50, 3 Sc 3.46-3.50, 2 Pm 3.51-3.55, 2 Sm 3.53
Sc  0.8312  0.6625  0.7500  8 Tm 3.44-3.50, 2 Pm 3.51, 2 Sm 3.52
Sc  0.1688  0.3375  0.2500  8 Tm 3.44-3.50, 2 Pm 3.51, 2 Sm 3.52
Pm  0.4982  0.9964  0.7500  4 Sm 3.50, 2 Sc 3.51, 6 Tm 3.51-3.56
Pm  0.5018  0.0036  0.2500  4 Sm 3.50, 2 Sc 3.51, 6 Tm 3.51-3.56


[2]
Here is crystalline CrSb2Au at its relaxed geometry from Alexandria. Energies are from PBE.

Output
- Formation energy from raw total energies: 0.390 eV/atom
- Crystal system: cubic
- Calculated total energy: -4.90 eV/atom

Unit cell a=5.0227 b=5.0227 c=5.0227 alpha=60.00 beta=60.00 gamma=60.00
With the nearest neighbours (Å) after each atom.
Fractional coordinates of all 4 atoms:
Cr  0.7500  0.7500  0.7500  4 Sb 3.08, 4 Au 3.08
Sb  0.0000  0.0000  0.0000  4 Cr 3.08, 4 Sb 3.08
Sb  0.2500  0.2500  0.2500  4 Sb 3.08, 4 Au 3.08
Au  0.5000  0.5000  0.5000  4 Cr 3.08, 4 Sb 3.08


[3]
Here is crystalline MnZn2In at its relaxed geometry from Alexandria. Energies are from PBE.

Output
- Energy of formation: 0.3502 eV/atom
- Crystal system: tetragonal
- Calculated total energy: -3.26 eV/atom

Unit cell a=7.4463 b=7.4463 c=5.9239 alpha=51.06 beta=51.06 gamma=90.00
With the nearest neighbours (Å) after each atom.
Fractional coordinates of all 8 atoms:
Mn  0.5000  0.5000  0.0000  4 Zn 2.61, 2 In 2.71
Mn  0.2500  0.7500  0.5000  4 Zn 2.61, 2 In 2.71
Zn  0.3750  0.3969  0.7500  2 Mn 2.61, 2 Zn 2.73, 2 In 2.83
Zn  0.6031  0.1250  0.2500  2 Mn 2.61, 2 Zn 2.73, 2 In 2.83
Zn  0.8750  0.8531  0.7500  2 Mn 2.61, 2 Zn 2.73, 2 In 2.83
Zn  0.1469  0.6250  0.2500  2 Mn 2.61, 2 Zn 2.73, 2 In 2.83
In  0.7500  0.2500  0.5000  2 Mn 2.71, 4 Zn 2.83
In  0.0000  0.0000  0.0000  2 Mn 2.71, 4 Zn 2.83


[4]
Here is crystalline Nd2DyIn3Se6 at its relaxed geometry from Alexandria. Energies are from PBE.

Output
- Formation energy from raw total energies: -1.292 eV/atom
- Crystal system: monoclinic
- Calculated total energy: -4.90 eV/atom

Unit cell a=7.3492 b=7.3492 c=8.1047 alpha=98.69 beta=98.69 gamma=119.98
With the nearest neighbours (Å) after each atom.
Fractional coordinates of all 12 atoms:
Se  0.2533  0.2533  0.7852  1 Dy 2.91, 2 Nd 2.98
Se  0.6044  0.9292  0.7877  1 Dy 2.90, 2 Nd 2.97-2.98
Se  0.0708  0.3956  0.2123  1 Dy 2.90, 2 Nd 2.97-2.98
Se  0.9292  0.6044  0.7877  1 Dy 2.90, 2 Nd 2.97-2.98
Se  0.3956  0.0708  0.2123  1 Dy 2.90, 2 Nd 2.97-2.98
Se  0.7467  0.7467  0.2148  1 Dy 2.91, 2 Nd 2.98
Nd  0.3334  0.6666  0.0000  6 Se 2.97-2.98
Nd  0.6666  0.3334  0.0000  6 Se 2.97-2.98
In  0.1681  0.8319  0.5000  6 Se 3.28-3.34
In  0.8319  0.1681  0.5000  6 Se 3.28-3.34
In  0.5000  0.5000  0.5000  6 Se 3.29-3.34
Dy  0.0000  0.0000  0.0000  6 Se 2.90-2.91


[5]
Here is crystalline BeCrSe2 at its relaxed geometry from Alexandria. Energies are from PBE.

Output
- Formation energy from raw total energies: 0.087 eV/atom
- Crystal system: monoclinic
- Calculated total energy: -4.99 eV/atom

Unit cell a=6.4789 b=5.4766 c=4.2921 alpha=58.44 beta=102.85 gamma=132.74
With the nearest neighbours (Å) after each atom.
Fractional coordinates of all 4 atoms:
Se  0.0000  0.0000  0.0000  2 Be 2.44, 2 Cr 2.44
Se  0.5000  0.0000  0.5000  2 Cr 2.44, 2 Be 2.44
Cr  0.5000  0.5000  0.0000  4 Se 2.44
Be  0.0000  0.5000  0.5000  4 Se 2.44


[6]
Here is crystalline CsNaBF6 at its relaxed geometry from Alexandria. Energies are from PBE.

Output
- Formation energy from raw total energies: -2.252 eV/atom
- Crystal system: trigonal
- Calculated total energy: -4.48 eV/atom

Unit cell a=5.5205 b=5.5206 c=6.0373 alpha=90.00 beta=90.00 gamma=59.99
With the nearest neighbours (Å) after each atom.
Fractional coordinates of all 9 atoms:
B  0.3337  0.3332  0.4999  6 F 1.62
F  0.5703  0.0914  0.3450  1 B 1.62
F  0.0912  0.5704  0.6551  1 B 1.62
F  0.0912  0.3383  0.3449  1 B 1.62
F  0.3382  0.5703  0.3449  1 B 1.62
F  0.5702  0.3383  0.6551  1 B 1.62
F  0.3382  0.0914  0.6551  1 B 1.62
Na  0.6666  0.6667  0.5000  6 F 2.33
Cs  0.0000  0.0000  0.0000  6 F 3.00


[7]
Here is crystalline SmAlTl at its relaxed geometry from Alexandria. Energies are from PBE.

Output
- Energy of formation: -0.1550 eV/atom
- Crystal system: tetragonal
- Calculated total energy: -3.76 eV/atom

Unit cell a=3.5268 b=3.5268 c=6.5830 alpha=105.54 beta=105.54 gamma=90.00
With the nearest neighbours (Å) after each atom.
Fractional coordinates of all 3 atoms:
Sm  0.2728  0.2728  0.5456  4 Al 3.18, 4 Tl 3.43, 4 Sm 3.53
Al  0.6109  0.6109  0.2218  4 Tl 3.05, 4 Sm 3.18
Tl  0.9663  0.9663  0.9326  4 Al 3.05


[8]
Here is crystalline PrEu2Cu at its relaxed geometry from Alexandria. Energies are from PBE.

Output
- Energy of formation: 0.2195 eV/atom
- Crystal system: trigonal
- Calculated total energy: -7.14 eV/atom

Unit cell a=3.7197 b=3.7197 c=11.4578 alpha=80.66 beta=80.66 gamma=60.00
With the nearest neighbours (Å) after each atom.
Fractional coordinates of all 4 atoms:
Eu  0.8944  0.8944  0.3169  3 Cu 2.98
Eu  0.1056  0.1056  0.6831  3 Cu 2.98
Pr  0.0000  0.0000  0.0000  2 Eu 3.57, 6 Pr 3.72
Cu  0.5000  0.5000  0.5000  6 Eu 2.98


[9]
Here is crystalline VRhI3 at its relaxed geometry from Alexandria. Energies are from PBE.

Output
- Formation energy from raw total energies: 0.573 eV/atom
- Crystal system: cubic
- Calculated total energy: -3.65 eV/atom

Unit cell a=5.3972 b=5.3972 c=5.3972 alpha=90.00 beta=90.00 gamma=90.00
With the nearest neighbours (Å) after each atom.
Fractional coordinates of all 5 atoms:
Rh  0.0000  0.0000  0.0000  6 I 2.70
I  0.0000  0.5000  0.0000  2 Rh 2.70
I  0.0000  0.0000  0.5000  2 Rh 2.70
I  0.5000  0.0000  0.0000  2 Rh 2.70
V  0.5000  0.5000  0.5000  12 I 3.82


[10]
Here is crystalline Sr2SI2 at its relaxed geometry from Alexandria. Energies are from PBE.

Output
- Formation energy from raw total energies: -1.512 eV/atom
- Crystal system: tetragonal
- Calculated total energy: -3.63 eV/atom

Unit cell a=8.3280 b=8.3280 c=5.0624 alpha=90.00 beta=90.00 gamma=90.00
With the nearest neighbours (Å) after each atom.
Fractional coordinates of all 10 atoms:
I  0.8515  0.3515  0.5000  2 Sr 3.23, 1 I 3.50
I  0.3515  0.1485  0.5000  2 Sr 3.23, 1 I 3.50
I  0.6485  0.8515  0.5000  2 Sr 3.23, 1 I 3.50
I  0.1485  0.6485  0.5000  2 Sr 3.23, 1 I 3.50
Sr  0.3186  0.8186  0.0000  2 S 3.05, 2 I 3.23
Sr  0.6814  0.1814  0.0000  2 S 3.05, 2 I 3.23
Sr  0.1814  0.3186  0.0000  2 S 3.05, 2 I 3.23
Sr  0.8186  0.6814  0.0000  2 S 3.05, 2 I 3.23
S  0.5000  0.5000  0.0000  4 Sr 3.05
S  0.0000  0.0000  0.0000  4 Sr 3.05


[11]
Here is crystalline LiAc2Zn9 at its relaxed geometry from Alexandria. Energies are from PBE.

Output
- Energy of formation: -0.1014 eV/atom
- Crystal system: trigonal
- Calculated total energy: -1.90 eV/atom

Unit cell a=5.6630 b=5.6630 c=9.5174 alpha=72.69 beta=72.69 gamma=60.00
With the nearest neighbours (Å) after each atom.
Fractional coordinates of all 12 atoms:
Zn  0.5000  0.5000  0.5000  6 Zn 2.90
Zn  0.3347  0.3347  0.9960  6 Zn 2.63-2.67
Zn  0.4209  0.4209  0.2335  7 Zn 2.63-2.90
Zn  0.4209  0.9247  0.2335  7 Zn 2.63-2.90
Zn  0.0753  0.5791  0.7665  7 Zn 2.63-2.90
Zn  0.5791  0.5791  0.7665  7 Zn 2.63-2.90
Zn  0.9247  0.4209  0.2335  7 Zn 2.63-2.90
Zn  0.5791  0.0753  0.7665  7 Zn 2.63-2.90
Zn  0.6653  0.6653  0.0040  6 Zn 2.63-2.67
Ac  0.8614  0.8614  0.4157  12 Zn 3.27-3.53, 3 Ac 3.60
Ac  0.1386  0.1386  0.5843  12 Zn 3.27-3.53, 3 Ac 3.60
Li  0.0000  0.0000  0.0000  18 Zn 3.27-3.52


[12]
Here is crystalline InAsP2 at its relaxed geometry from Alexandria. Energies are from PBE.

Output
- Energy of formation: 0.1631 eV/atom
- Crystal system: tetragonal
- Calculated total energy: -4.39 eV/atom

Unit cell a=3.7171 b=3.7171 c=5.9499 alpha=90.00 beta=90.00 gamma=90.00
With the nearest neighbours (Å) after each atom.
Fractional coordinates of all 4 atoms:
As  0.0000  0.0000  0.5437  1 P 2.32
P  0.0000  0.0000  0.1543  1 As 2.32
P  0.5000  0.5000  0.1182  1 In 2.58, 4 P 2.64
In  0.5000  0.5000  0.6838  1 P 2.58, 4 As 2.76


Please write out number 11 again, unchanged.
Here is crystalline LiAc2Zn9 at its relaxed geometry from Alexandria. Energies are from PBE.

Output
- Energy of formation: -0.1014 eV/atom
- Crystal system: trigonal
- Calculated total energy: -1.90 eV/atom

Unit cell a=5.6630 b=5.6630 c=9.5174 alpha=72.69 beta=72.69 gamma=60.00
With the nearest neighbours (Å) after each atom.
Fractional coordinates of all 12 atoms:
Zn  0.5000  0.5000  0.5000  6 Zn 2.90
Zn  0.3347  0.3347  0.9960  6 Zn 2.63-2.67
Zn  0.4209  0.4209  0.2335  7 Zn 2.63-2.90
Zn  0.4209  0.9247  0.2335  7 Zn 2.63-2.90
Zn  0.0753  0.5791  0.7665  7 Zn 2.63-2.90
Zn  0.5791  0.5791  0.7665  7 Zn 2.63-2.90
Zn  0.9247  0.4209  0.2335  7 Zn 2.63-2.90
Zn  0.5791  0.0753  0.7665  7 Zn 2.63-2.90
Zn  0.6653  0.6653  0.0040  6 Zn 2.63-2.67
Ac  0.8614  0.8614  0.4157  12 Zn 3.27-3.53, 3 Ac 3.60
Ac  0.1386  0.1386  0.5843  12 Zn 3.27-3.53, 3 Ac 3.60
Li  0.0000  0.0000  0.0000  18 Zn 3.27-3.52